1.
Material: Si2IrBr
Method: DFT, SCAN
State: PBEsol geometry

abc: 3.5409 3.7981 7.7391
angles: 63.92 76.78 62.22
Element x y z (fractional)
1 Si 0.0096 0.1426 0.8382
2 Si 0.6315 0.5927 0.1444
3 Ir 0.3219 0.3497 0.0065
4 Br 0.0371 0.4150 0.5108

Properties
DFT total energy, eV per cell: -111.74
Symmetry: Cm (8)
Fermi-level density of states, states/eV per cell: 1.143
Size of the total moment, μB/f.u.: 0.000
Formation energy without anion corrections, eV/atom: -0.2878
Density, g cm⁻³: 6.6



2.
Material: Si2IrBr
Method: DFT, SCAN
State: PBEsol geometry

abc: 3.5341 3.5341 7.1274
angles: 75.65 75.65 60.00
Element x y z (fractional)
1 Si 0.2715 0.2715 0.1854
2 Si 0.7285 0.7285 0.8146
3 Ir 0.0000 0.0000 0.0000
4 Br 0.5000 0.5000 0.5000

Properties
DFT total energy, eV per cell: -110.84
Symmetry: R-3m (166)
Fermi-level density of states, states/eV per cell: 1.364
Size of the total moment, μB/f.u.: 0.000
Formation energy without anion corrections, eV/atom: -0.0623
Density, g cm⁻³: 7.4



3.
Material: Si2IrBr
Method: DFT, SCAN
State: PBEsol geometry

abc: 4.4211 4.4211 4.4211
angles: 108.74 109.84 109.84
Element x y z (fractional)
1 Si 0.5000 0.5000 0.0000
2 Si 0.5000 0.0000 0.5000
3 Ir 0.0000 0.0000 0.0000
4 Br 0.0000 0.5000 0.5000

Properties
DFT total energy, eV per cell: -108.66
Symmetry: I4/mmm (139)
Fermi-level density of states, states/eV per cell: 1.600
Size of the total moment, μB/f.u.: 0.000
Formation energy without anion corrections, eV/atom: 0.4823
Density, g cm⁻³: 8.2



4.
Material: TiSn2IrBr
Method: DFT, SCAN
State: PBEsol geometry

abc: 4.4688 5.1984 5.1984
angles: 90.00 90.00 90.00
Element x y z (fractional)
1 Ir 0.5000 0.5000 0.5000
2 Sn 0.0000 0.0000 0.5000
3 Sn 0.0000 0.5000 0.0000
4 Br 0.0000 0.0000 0.0000
5 Ti 0.5000 0.0000 0.0000

Properties
DFT total energy, eV per cell: -171.09
Symmetry: P4/mmm (123)
Fermi-level density of states, states/eV per cell: 3.478
Size of the total moment, μB/f.u.: 0.000
Formation energy without anion corrections, eV/atom: 1.4687
Density, g cm⁻³: 7.7



5.
Material: SrIrBr2
Method: DFT, SCAN
State: PBEsol geometry

abc: 3.6078 3.6078 7.5753
angles: 90.00 90.00 90.00
Element x y z (fractional)
1 Sr 0.5000 0.5000 0.7424
2 Ir 0.0000 0.0000 0.4287
3 Br 0.0000 0.0000 0.9677
4 Br 0.5000 0.5000 0.3611

Properties
DFT total energy, eV per cell: -134.02
Symmetry: P4mm (99)
Fermi-level density of states, states/eV per cell: 0.924
Size of the total moment, μB/f.u.: 0.000
Formation energy without anion corrections, eV/atom: -0.4321
Density, g cm⁻³: 7.4



6.
Material: Sr2IrBr2
Method: DFT, SCAN
State: PBEsol geometry

abc: 4.5603 4.5603 8.0901
angles: 106.37 106.37 90.00
Site moments in Bohr magnetons follow the coordinates.
Element x y z (fractional)
1 Sr 0.3814 0.3814 0.7628  -0.02
2 Sr 0.6186 0.6186 0.2372  -0.02
3 Ir 0.0000 0.0000 0.0000  1.16
4 Br 0.2500 0.7500 0.5000  0.00
5 Br 0.7500 0.2500 0.5000  0.00

Properties
DFT total energy, eV per cell: -157.87
Symmetry: I4/mmm (139)
Fermi-level density of states, states/eV per cell: 1.612
Size of the total moment, μB/f.u.: 0.996
Formation energy without anion corrections, eV/atom: -0.6609
Density, g cm⁻³: 5.7



7.
Material: SrIr2Br
Method: DFT, SCAN
State: PBEsol geometry

abc: 4.1175 4.1175 7.7633
angles: 74.62 74.62 60.00
Element x y z (fractional)
1 Sr 0.4910 0.4910 0.5270
2 Ir 0.0511 0.0511 0.8466
3 Ir 0.7187 0.7187 0.8440
4 Br 0.2392 0.2392 0.2824

Properties
DFT total energy, eV per cell: -185.59
Symmetry: R3m (160)
Fermi-level density of states, states/eV per cell: 1.717
Size of the total moment, μB/f.u.: 0.000
Formation energy without anion corrections, eV/atom: -0.4148
Density, g cm⁻³: 8.4



8.
Material: SrIrBr2
Method: DFT, SCAN
State: PBEsol geometry

abc: 3.6569 3.6569 6.7865
angles: 90.00 90.00 90.00
Site moments in Bohr magnetons follow the coordinates.
Element x y z (fractional)
1 Sr 0.5000 0.5000 0.5000  0.02
2 Ir 0.5000 0.5000 0.0000  1.32
3 Br 0.0000 0.0000 0.7586  0.07
4 Br 0.0000 0.0000 0.2414  0.07

Properties
DFT total energy, eV per cell: -131.82
Symmetry: P4/mmm (123)
Fermi-level density of states, states/eV per cell: 4.263
Size of the total moment, μB/f.u.: 1.619
Formation energy without anion corrections, eV/atom: 0.1177
Density, g cm⁻³: 8.0



9.
Material: SrIr2Br
Method: DFT, SCAN
State: PBEsol geometry

abc: 3.8039 3.8039 6.4623
angles: 107.12 107.12 90.00
Element x y z (fractional)
1 Sr 0.5000 0.5000 0.0000
2 Ir 0.7500 0.2500 0.5000
3 Ir 0.2500 0.7500 0.5000
4 Br 0.0000 0.0000 0.0000

Properties
DFT total energy, eV per cell: -182.84
Symmetry: I4/mmm (139)
Fermi-level density of states, states/eV per cell: 3.931
Size of the total moment, μB/f.u.: 0.000
Formation energy without anion corrections, eV/atom: 0.2739
Density, g cm⁻³: 10.8



10.
Material: SrIr2Br
Method: DFT, SCAN
State: PBEsol geometry

abc: 2.9961 4.7643 5.2287
angles: 90.00 90.00 90.00
Site moments in Bohr magnetons follow the coordinates.
Element x y z (fractional)
1 Sr 0.5000 0.0000 0.5000  0.00
2 Ir 0.0000 0.0000 0.0000  0.28
3 Ir 0.5000 0.5000 0.0000  0.62
4 Br 0.0000 0.5000 0.5000  0.06

Properties
DFT total energy, eV per cell: -182.53
Symmetry: Pmmm (47)
Fermi-level density of states, states/eV per cell: 3.152
Size of the total moment, μB/f.u.: 0.949
Formation energy without anion corrections, eV/atom: 0.3498
Density, g cm⁻³: 12.3



11.
Material: Tb6IrBr10
Method: DFT, SCAN
State: PBEsol geometry

abc: 7.2317 9.0185 9.0667
angles: 108.27 97.05 105.69
Site moments in Bohr magnetons follow the coordinates.
Element x y z (fractional)
1 Tb 0.9711 0.3021 0.0961  0.11
2 Tb 0.0289 0.6979 0.9039  0.11
3 Tb 0.6291 0.8590 0.8165  0.09
4 Tb 0.3709 0.1410 0.1835  0.09
5 Tb 0.1270 0.0456 0.7493  0.10
6 Tb 0.8730 0.9544 0.2507  0.10
7 Ir 0.0000 0.0000 0.0000  0.06
8 Br 0.5497 0.1803 0.9143  0.00
9 Br 0.4503 0.8197 0.0857  0.00
10 Br 0.7416 0.9169 0.5401  0.01
11 Br 0.2584 0.0831 0.4599  0.01
12 Br 0.0884 0.3710 0.8250  0.01
13 Br 0.9116 0.6290 0.1750  0.01
14 Br 0.2074 0.7366 0.6433  0.01
15 Br 0.7926 0.2634 0.3567  0.01
16 Br 0.6389 0.5367 0.7244  0.01
17 Br 0.3611 0.4633 0.2756  0.01

Properties
DFT total energy, eV per cell: -577.62
Symmetry: P-1 (2)
Fermi-level density of states, states/eV per cell: 8.418
Size of the total moment, μB/f.u.: 0.987
Formation energy without anion corrections, eV/atom: -1.8440
Density, g cm⁻³: 6.1



12.
Material: TcIr2Br
Method: DFT, SCAN
State: PBEsol geometry

abc: 2.7933 4.6330 4.6817
angles: 90.00 90.00 90.00
Site moments in Bohr magnetons follow the coordinates.
Element x y z (fractional)
1 Ir 0.0000 0.0000 0.0000  0.17
2 Ir 0.5000 0.5000 0.0000  0.20
3 Tc 0.5000 0.0000 0.5000  1.47
4 Br 0.0000 0.5000 0.5000  0.00

Properties
DFT total energy, eV per cell: -192.77
Symmetry: Pmmm (47)
Fermi-level density of states, states/eV per cell: 3.478
Size of the total moment, μB/f.u.: 1.871
Formation energy without anion corrections, eV/atom: 0.9858
Density, g cm⁻³: 15.4